The following is a GGA-PBE calculation of a relaxed structure of Ba2NaSr6, from Alexandria.

The value obtained for the electronic total energy is -1.647 eV/atom. The value obtained for the formation energy is 0.048 eV per atom. The distance to the lowest polymorph of the same formula is 2.8 meV per atom. Its density of states at the Fermi level is 18.44 states/eV/cell.

It has space group C2/m (No. 12), with a = 19.7614 Å, b = 12.4895 Å, c = 4.1927 Å, α = 90.00°, β = 102.03° and γ = 90.00°. The distinct sites, in fractional coordinates, are Ba at (0.1565, 0.0000, 0.1524), Na at (0.0000, 0.5000, 0.0000), Sr at (0.0000, 0.1928, 0.5000) and Sr at (0.1722, 0.3356, 0.1758).